Record 1
First-principles (PBE) data for crystalline Na12Tl3Pd at its relaxed geometry, as listed in Alexandria via LeMat-Bulk.

For the electronic total energy, the calculation gives -28.86 eV/cell. Its calculated formation energy is -4 kJ per mole of atoms.

It has space group P4/mmm (No. 123), with a = 4.8542 Å, b = 4.8542 Å, c = 19.7416 Å, α = 90.00°, β = 90.00° and γ = 90.00°. Symmetry generates all atoms from Na at (0.0000, 0.0000, 0.0000), Na at (0.0000, 0.0000, 0.2377), Na at (0.0000, 0.0000, 0.5000), Na at (0.0000, 0.5000, 0.1051), Na at (0.0000, 0.5000, 0.3697), Tl at (0.5000, 0.5000, 0.2392), Tl at (0.5000, 0.5000, 0.5000) and Pd at (0.5000, 0.5000, 0.0000).



Record 2
First-principles (PBE) data for crystalline Na2TlPd6 at its relaxed geometry, as listed in Alexandria via LeMat-Bulk.

For the electronic total energy, the calculation gives -141.59 eV/cell. Its calculated formation energy is 8 kJ per mole of atoms.

It has space group Fm-3m (No. 225), with a = 9.0722 Å, b = 9.0722 Å, c = 9.0722 Å, α = 90.00°, β = 90.00° and γ = 90.00°. Symmetry generates all atoms from Na at (0.2500, 0.2500, 0.2500), Tl at (0.0000, 0.0000, 0.0000) and Pd at (0.0000, 0.0000, 0.2885).



Record 3
First-principles (PBE) data for crystalline Na4TlPd at its relaxed geometry, as listed in Alexandria via LeMat-Bulk.

For the electronic total energy, the calculation gives -25.65 eV/cell. Its calculated formation energy is 0 kJ per mole of atoms.

It has space group Pmn2_1 (No. 31), with a = 9.4757 Å, b = 6.2097 Å, c = 6.6356 Å, α = 90.00°, β = 90.00° and γ = 90.00°. Symmetry generates all atoms from Na at (0.0000, 0.0431, 0.0000), Na at (0.0000, 0.8109, 0.5398), Na at (0.2067, 0.5535, 0.1580), Tl at (0.0000, 0.2915, 0.4630) and Pd at (0.0000, 0.4804, 0.8319).



Record 4
First-principles (PBE) data for crystalline NaTl2Pd6 at its relaxed geometry, as listed in Alexandria via LeMat-Bulk.

For the electronic total energy, the calculation gives -38.61 eV/cell. Its calculated formation energy is -15 kJ per mole of atoms.

It has space group P-3m1 (No. 164), with a = 4.6005 Å, b = 4.6005 Å, c = 8.5250 Å, α = 90.00°, β = 90.00° and γ = 120.00°. Symmetry generates all atoms from Na at (0.0000, 0.0000, 0.0000), Tl at (0.3333, 0.6667, 0.2268), Pd at (0.0000, 0.0000, 0.3378), Pd at (0.3333, 0.6667, 0.5511) and Pd at (0.3333, 0.6667, 0.8868).



Record 5
First-principles (PBE) data for crystalline NaTlPd at its relaxed geometry, as listed in Alexandria via LeMat-Bulk.

For the electronic total energy, the calculation gives -18.48 eV/cell. Its calculated formation energy is -12 kJ per mole of atoms.

It has space group I4mm (No. 107), with a = 3.5783 Å, b = 3.5783 Å, c = 10.3842 Å, α = 90.00°, β = 90.00° and γ = 90.00°. Symmetry generates all atoms from Na at (0.0000, 0.0000, 0.0000), Tl at (0.0000, 0.0000, 0.6972) and Pd at (0.0000, 0.0000, 0.3265).



Record 6
First-principles (PBE) data for crystalline Na3Tl6Pd5 at its relaxed geometry, as listed in Alexandria via LeMat-Bulk.

For the electronic total energy, the calculation gives -93.05 eV/cell. Its calculated formation energy is -17 kJ per mole of atoms.

It has space group Pmmn (No. 59, origin choice 2), with a = 4.5541 Å, b = 14.3043 Å, c = 9.9743 Å, α = 90.00°, β = 90.00° and γ = 90.00°. Symmetry generates all atoms from Na at (0.2500, 0.0449, 0.2489), Na at (0.2500, 0.7500, 0.2200), Tl at (0.2500, 0.0668, 0.9150), Tl at (0.2500, 0.2500, 0.1181), Tl at (0.2500, 0.2500, 0.4792), Tl at (0.2500, 0.5897, 0.5279), Pd at (0.2500, 0.0913, 0.6426), Pd at (0.2500, 0.6385, 0.9427) and Pd at (0.2500, 0.7500, 0.7038).



Record 7
First-principles (PBE) data for crystalline Na2Tl3Pd at its relaxed geometry, as listed in Alexandria via LeMat-Bulk.

The calculation puts the polymorph energy (0 for the lowest one) at 0.0 meV per atom. For the electronic total energy, the calculation gives -63.09 eV/cell. Its calculated formation energy is -14 kJ per mole of atoms.

It has space group Cmmm (No. 65), with a = 4.9991 Å, b = 15.1079 Å, c = 7.9425 Å, α = 90.00°, β = 90.00° and γ = 90.00°. Symmetry generates all atoms from Na at (0.0000, 0.0000, 0.0000), Na at (0.0000, 0.0000, 0.5000), Na at (0.0000, 0.3354, 0.0000), Tl at (0.0000, 0.1793, 0.2927), Tl at (0.0000, 0.5000, 0.2704) and Pd at (0.0000, 0.3502, 0.5000).



Record 8
First-principles (PBE) data for crystalline Na2Tl2Pd3 at its relaxed geometry, as listed in Alexandria via LeMat-Bulk.

The calculation puts the polymorph energy (0 for the lowest one) at 2.1 meV per atom. For the electronic total energy, the calculation gives -48.37 eV/cell. Its calculated formation energy is -17 kJ per mole of atoms.

It has space group Immm (No. 71), with a = 4.4337 Å, b = 4.7563 Å, c = 13.9830 Å, α = 90.00°, β = 90.00° and γ = 90.00°. Symmetry generates all atoms from Na at (0.0000, 0.0000, 0.1157), Tl at (0.0000, 0.0000, 0.3740), Pd at (0.0000, 0.5000, 0.0000) and Pd at (0.0000, 0.5000, 0.2440).